Density functional theory data (PBE) for a relaxed CaSi2Ni6 crystal.

The structure in extended XYZ format:
```
18
Lattice="-2.342 -1.463 6.841 3.449 -5.096 4.069 4.063 2.047 5.807" Properties=species:S:1:pos:R:3 pbc="T T T"
Ca 2.585 -2.256 8.358
Ca 3.878 -3.384 12.537
Si 0.646 -0.564 2.090
Si 2.371 -3.112 4.124
Si 2.678 0.460 4.993
Si -0.525 -1.296 5.510
Ni 3.356 -0.010 7.027
Ni 1.814 -4.502 9.690
Ni 3.036 -3.738 6.119
Ni 5.157 -2.670 9.150
Ni 0.586 -3.185 5.399
Ni -1.063 -0.749 3.454
Ni 2.134 -0.774 10.597
Ni 1.999 0.929 2.960
Ni 0.879 0.229 6.229
Ni 3.648 -1.507 4.905
Ni 0.013 -1.842 7.566
Ni 1.706 -2.485 2.129
```

Its total magnetic moment is 0.000 μB/cell. As for the energy above the most stable polymorph in this dataset: 0.334 eV/atom. The uncorrected formation energy comes out at 0.082 eV/atom. As for the crystal system: cubic.



Density functional theory data (PBE) for a relaxed Sm4Ho5Tl crystal.

The structure in extended XYZ format:
```
10
Lattice="-2.983 4.772 1.445 -3.681 3.195 -6.467 -7.598 -1.850 2.105" Properties=species:S:1:pos:R:3 pbc="T T T"
Sm -7.746 1.939 0.081
Sm -10.051 4.626 -1.870
Sm -3.983 1.128 -1.156
Sm -6.289 3.815 -3.107
Ho -11.255 3.006 0.829
Ho -8.888 2.696 -4.938
Ho -5.105 2.992 1.891
Ho -2.737 2.682 -3.875
Ho -1.975 3.160 0.957
Tl -0.537 0.859 0.260
```

Its total magnetic moment is 0.000 μB/cell. As for the energy above the most stable polymorph in this dataset: 0.072 eV/atom. As for the formation energy: 0.1109 eV/atom. As for the crystal system: tetragonal.



Density functional theory data (PBE) for a relaxed CoSnSe2 crystal.

The structure in extended XYZ format:
```
8
Lattice="-4.796 1.030 3.509 0.937 -5.247 2.821 1.294 0.434 6.824" Properties=species:S:1:pos:R:3 pbc="T T T"
Co -1.929 -2.109 3.165
Co 0.151 -3.461 6.405
Sn 0.000 0.000 0.000
Sn -2.716 -0.322 6.749
Se -2.181 0.016 3.977
Se -0.066 -2.962 4.183
Se -0.404 -1.667 7.713
Se -2.480 -2.953 10.436
```

Its total magnetic moment is 0.000 μB/cell. The uncorrected formation energy comes out at -0.115 eV/atom. As for the crystal system: tetragonal.



Density functional theory data (PBE) for a relaxed LiPaTe2O8 crystal.

The structure in extended XYZ format:
```
12
Lattice="-5.049 1.570 3.277 2.621 -5.221 2.135 4.151 4.606 0.488" Properties=species:S:1:pos:R:3 pbc="T T T"
Li 0.000 0.000 0.000
Pa 2.779 -1.221 2.664
Te -1.055 2.175 3.235
Te -1.214 -1.826 2.706
O -0.450 1.672 1.553
O 0.678 -1.267 2.240
O 1.961 3.599 1.618
O -0.787 3.994 2.969
O -1.862 -1.207 4.524
O -2.766 1.633 3.717
O -0.219 1.402 4.703
O 2.670 0.784 3.417
```

Its total magnetic moment is 0.000 μB/cell. The uncorrected formation energy comes out at -1.659 eV/atom. As for the crystal system: tetragonal.